VASP calculation (meta-GGA SCAN) on AlIn3Ni at its PBEsol-relaxed geometry.

It has space group Pm-3m (No. 221), with a = 5.135 Å, b = 5.135 Å, c = 5.135 Å, α = 90.00°, β = 90.00° and γ = 90.00°. The distinct sites, in fractional coordinates, are Al at (0.000, 0.000, 0.000), In at (0.000, 0.000, 0.500) and Ni at (0.500, 0.500, 0.500).

As for the uncorrected energy: -23.8738 eV per atom. The density of states at the Fermi level is 7.91 states/eV per cell.